First-principles (meta-GGA SCAN) data for a crystal of CdRh relaxed with PBEsol, as listed in the Alexandria database.

POSCAR file:
```
CdRh
1.0
4.4838 0.0000 0.0000
-2.2419 3.8831 0.0000
0.0000 0.0000 5.2409
Rh Cd
2 2
direct
0.3333 0.6667 0.0645
0.6667 0.3333 0.5645
0.3333 0.6667 0.5645
0.6667 0.3333 0.0645
```

Summary:
- Space-group type: P6_3/mmc
- DOS at the Fermi energy: 1.189 states/eV/atom
- Total magnetic moment: 0.00 μB/cell
- Formation enthalpy at 0 K: 83.1 kJ per mole of atoms
- E: -31.231 eV per atom